Entry 1:
VASP calculation (PBE) on Ca3Th2N4 after structural relaxation.

As for the crystal system: monoclinic.

It has space group C2/m (No. 12), with a = 12.119 Å, b = 3.707 Å, c = 8.898 Å, α = 90.00°, β = 120.62° and γ = 90.00°. The distinct sites, in fractional coordinates, are Ca at (0.000, 0.000, 0.000), Ca at (0.207, 0.000, 0.822), Th at (0.097, 0.500, 0.378), N at (0.092, 0.500, 0.884) and N at (0.194, 0.000, 0.324).

---

Entry 2:
VASP calculation (PBE) on TaBeTl4 after structural relaxation.

As for the crystal system: cubic. The formation energy from the elements comes out at 1285 meV per atom.

It has space group F-43m (No. 216), with a = 8.585 Å, b = 8.585 Å, c = 8.585 Å, α = 90.00°, β = 90.00° and γ = 90.00°. The distinct sites, in fractional coordinates, are Ta at (0.000, 0.000, 0.000), Be at (0.250, 0.250, 0.250) and Tl at (0.125, 0.125, 0.625).

---

Entry 3:
VASP calculation (PBE) on LaMoBr2 after structural relaxation.

As for the crystal system: tetragonal.

It has space group P4mm (No. 99), with a = 4.095 Å, b = 4.095 Å, c = 6.555 Å, α = 90.00°, β = 90.00° and γ = 90.00°. The distinct sites, in fractional coordinates, are La at (0.000, 0.000, 0.000), Mo at (0.500, 0.500, 0.235), Br at (0.000, 0.000, 0.465) and Br at (0.500, 0.500, 0.832).

---

Entry 4:
VASP calculation (PBE) on SrMnTlGe2 after structural relaxation.

As for the crystal system: tetragonal. The formation energy from the elements comes out at 1502 meV per atom.

It has space group P4/mmm (No. 123), with a = 5.281 Å, b = 5.281 Å, c = 5.779 Å, α = 90.00°, β = 90.00° and γ = 90.00°. The distinct sites, in fractional coordinates, are Sr at (0.000, 0.000, 0.000), Mn at (0.500, 0.500, 0.000), Tl at (0.000, 0.000, 0.500) and Ge at (0.000, 0.500, 0.500).

---

Entry 5:
VASP calculation (PBE) on SmHoMgRu after structural relaxation.

As for the crystal system: cubic. The formation energy from the elements comes out at -157 meV per atom.

It has space group F-43m (No. 216), with a = 7.157 Å, b = 7.157 Å, c = 7.157 Å, α = 90.00°, β = 90.00° and γ = 90.00°. The distinct sites, in fractional coordinates, are Sm at (0.000, 0.000, 0.000), Ho at (0.000, 0.000, 0.500), Mg at (0.250, 0.250, 0.250) and Ru at (0.250, 0.250, 0.750).

---

Entry 6:
VASP calculation (PBE) on Er5Cu3 after structural relaxation.

As for the crystal system: tetragonal. The formation energy from the elements comes out at -183 meV per atom.

It has space group P4/mmm (No. 123), with a = 3.431 Å, b = 3.431 Å, c = 15.651 Å, α = 90.00°, β = 90.00° and γ = 90.00°. The distinct sites, in fractional coordinates, are Er at (0.000, 0.000, 0.000), Er at (0.000, 0.000, 0.219), Er at (0.500, 0.500, 0.391), Cu at (0.000, 0.000, 0.500) and Cu at (0.500, 0.500, 0.109).

---

Entry 7:
VASP calculation (PBE) on Al2TcPIr after structural relaxation.

As for the crystal system: tetragonal. The formation energy from the elements comes out at 757 meV per atom.

It has space group P4/mmm (No. 123), with a = 4.766 Å, b = 4.766 Å, c = 4.379 Å, α = 90.00°, β = 90.00° and γ = 90.00°. The distinct sites, in fractional coordinates, are Al at (0.000, 0.500, 0.000), Tc at (0.000, 0.000, 0.500), P at (0.500, 0.500, 0.500) and Ir at (0.500, 0.500, 0.000).

---

Entry 8:
VASP calculation (PBE) on Cs2Ga2Pt3 after structural relaxation.

As for the crystal system: monoclinic. The formation energy from the elements comes out at -386 meV per atom.

It has space group C2/m (No. 12), with a = 15.074 Å, b = 4.068 Å, c = 7.471 Å, α = 90.00°, β = 118.42° and γ = 90.00°. The distinct sites, in fractional coordinates, are Cs at (0.134, 0.000, 0.246), Ga at (0.099, 0.000, 0.708), Pt at (0.000, 0.500, 0.500) and Pt at (0.183, 0.500, 0.888).

---

Entry 9:
VASP calculation (PBE) on TmHf2Ti after structural relaxation.

As for the crystal system: tetragonal. The formation energy from the elements comes out at 159 meV per atom.

It has space group P4/mmm (No. 123), with a = 3.577 Å, b = 3.577 Å, c = 7.124 Å, α = 90.00°, β = 90.00° and γ = 90.00°. The distinct sites, in fractional coordinates, are Tm at (0.000, 0.000, 0.000), Hf at (0.500, 0.500, 0.296) and Ti at (0.000, 0.000, 0.500).

---

Entry 10:
VASP calculation (PBE) on BaHgOF2 after structural relaxation.

As for the crystal system: tetragonal.

It has space group P4/mmm (No. 123), with a = 4.733 Å, b = 4.733 Å, c = 4.254 Å, α = 90.00°, β = 90.00° and γ = 90.00°. The distinct sites, in fractional coordinates, are Ba at (0.000, 0.000, 0.000), Hg at (0.500, 0.500, 0.500), O at (0.500, 0.500, 0.000) and F at (0.000, 0.500, 0.500).

---

Entry 11:
VASP calculation (PBE) on Cu2WAu after structural relaxation.

As for the crystal system: cubic. The formation energy from the elements comes out at 460 meV per atom.

It has space group Fm-3m (No. 225), with a = 6.119 Å, b = 6.119 Å, c = 6.119 Å, α = 90.00°, β = 90.00° and γ = 90.00°. The distinct sites, in fractional coordinates, are Cu at (0.250, 0.250, 0.250), W at (0.000, 0.000, 0.000) and Au at (0.000, 0.000, 0.500).

---

Entry 12:
VASP calculation (PBE) on LiHoThSc after structural relaxation.

As for the crystal system: cubic. The formation energy from the elements comes out at 191 meV per atom.

It has space group F-43m (No. 216), with a = 7.557 Å, b = 7.557 Å, c = 7.557 Å, α = 90.00°, β = 90.00° and γ = 90.00°. The distinct sites, in fractional coordinates, are Li at (0.000, 0.000, 0.000), Ho at (0.250, 0.250, 0.750), Th at (0.250, 0.250, 0.250) and Sc at (0.000, 0.000, 0.500).

---

Entry 13:
VASP calculation (PBE) on ScInSb2I after structural relaxation.

As for the crystal system: tetragonal.

It has space group P4/mmm (No. 123), with a = 5.547 Å, b = 5.547 Å, c = 5.860 Å, α = 90.00°, β = 90.00° and γ = 90.00°. The distinct sites, in fractional coordinates, are Sc at (0.000, 0.000, 0.000), In at (0.500, 0.500, 0.500), Sb at (0.000, 0.500, 0.000) and I at (0.000, 0.000, 0.500).

---

Entry 14:
VASP calculation (PBE) on Li3Ac3Ag8 after structural relaxation.

As for the crystal system: orthorhombic. The formation energy from the elements comes out at -240 meV per atom.

It has space group Immm (No. 71), with a = 4.797 Å, b = 9.784 Å, c = 14.016 Å, α = 90.00°, β = 90.00° and γ = 90.00°. The distinct sites, in fractional coordinates, are Li at (0.000, 0.000, 0.000), Li at (0.000, 0.300, 0.500), Ac at (0.000, 0.500, 0.000), Ac at (0.000, 0.500, 0.290), Ag at (0.000, 0.147, 0.338) and Ag at (0.000, 0.207, 0.121).

---

Entry 15:
VASP calculation (PBE) on In2SbP after structural relaxation.

As for the crystal system: orthorhombic.

It has space group Pmmm (No. 47), with a = 3.832 Å, b = 4.864 Å, c = 5.162 Å, α = 90.00°, β = 90.00° and γ = 90.00°. The distinct sites, in fractional coordinates, are In at (0.000, 0.000, 0.000), In at (0.500, 0.500, 0.000), Sb at (0.000, 0.500, 0.500) and P at (0.500, 0.000, 0.500).

---

Entry 16:
VASP calculation (PBE) on Th3Zn3Cu after structural relaxation.

As for the crystal system: orthorhombic. The formation energy from the elements comes out at -194 meV per atom.

It has space group Imm2 (No. 44), with a = 3.611 Å, b = 4.477 Å, c = 19.801 Å, α = 90.00°, β = 90.00° and γ = 90.00°. The distinct sites, in fractional coordinates, are Th at (0.000, 0.000, 0.000), Th at (0.000, 0.000, 0.389), Th at (0.000, 0.500, 0.200), Zn at (0.000, 0.000, 0.561), Zn at (0.000, 0.000, 0.831), Zn at (0.000, 0.500, 0.632) and Cu at (0.000, 0.500, 0.762).

---

Entry 17:
VASP calculation (PBE) on Ho2SbRu after structural relaxation.

As for the crystal system: tetragonal.

It has space group P4/mmm (No. 123), with a = 3.394 Å, b = 3.394 Å, c = 8.072 Å, α = 90.00°, β = 90.00° and γ = 90.00°. The distinct sites, in fractional coordinates, are Ho at (0.000, 0.000, 0.206), Sb at (0.500, 0.500, 0.500) and Ru at (0.500, 0.500, 0.000).

---

Entry 18:
VASP calculation (PBE) on Ag3TeBr6 after structural relaxation.

As for the crystal system: monoclinic.

It has space group P2_1/c (No. 14), with a = 8.172 Å, b = 7.556 Å, c = 12.363 Å, α = 90.00°, β = 105.93° and γ = 90.00°. The distinct sites, in fractional coordinates, are Ag at (0.000, 0.000, 0.000), Ag at (0.166, 0.175, 0.736), Te at (0.500, 0.000, 0.500), Br at (0.117, 0.625, 0.345), Br at (0.198, 0.136, 0.513) and Br at (0.490, 0.209, 0.320).

---

Entry 19:
VASP calculation (PBE) on HoAg2Hg5 after structural relaxation.

As for the crystal system: tetragonal. The formation energy from the elements comes out at -60 meV per atom.

It has space group I4/mcm (No. 140), with a = 7.669 Å, b = 7.669 Å, c = 12.767 Å, α = 90.00°, β = 90.00° and γ = 90.00°. The distinct sites, in fractional coordinates, are Ho at (0.000, 0.000, 0.250), Ag at (0.139, 0.361, 0.000), Hg at (0.000, 0.000, 0.000) and Hg at (0.152, 0.348, 0.346).

---

Entry 20:
VASP calculation (PBE) on Tb2Dy5Ru4 after structural relaxation.

As for the crystal system: monoclinic. The formation energy from the elements comes out at -82 meV per atom.

It has space group C2/m (No. 12), with a = 23.470 Å, b = 3.443 Å, c = 6.967 Å, α = 90.00°, β = 96.30° and γ = 90.00°. The distinct sites, in fractional coordinates, are Tb at (0.232, 0.000, 0.281), Dy at (0.000, 0.000, 0.000), Dy at (0.093, 0.500, 0.393), Dy at (0.128, 0.500, 0.884), Ru at (0.024, 0.500, 0.695) and Ru at (0.174, 0.000, 0.612).

---

What DFT total energy values result from the calculations? In sequence: -7.145, -2.889, -4.966, -2.989, -5.199, -4.570, -5.667, -4.083, -7.909, -4.177, -5.646, -4.870, -3.864, -3.160, -3.465, -4.505, -6.249, -2.448, -1.533, -6.388 eV per atom.